# 1
5
Lattice="5.060 0.000 0.000 0.000 5.060 0.000 0.000 0.000 3.844" Properties=species:S:1:pos:R:3 comment="GGA-PBE NaMgCl2F, optimized geometry" raw_formation_energy_ev_per_atom=-2.244 mass_density_g_cm3=2.3 sg=P4/mmm dos_ef_per_ev_fu=0.00 pbc="T T T"
Na 0.000 0.000 0.000
Mg 2.530 2.530 1.922
Cl 0.000 2.530 1.922
Cl 2.530 0.000 1.922
F 2.530 2.530 0.000



# 2
16
Lattice="8.842 0.000 0.000 0.000 8.842 0.000 0.000 0.000 7.040" Properties=species:S:1:pos:R:3 comment="GGA-PBE Ba2MnPd, optimized geometry" delta_e_f_ev_per_atom=0.3521 relative_energy_ev_per_atom=0.168 mass_density_g_cm3=5.3 sg=I-42d dos_ef_per_ev_fu=5.03 pbc="T T T"
Ba 1.913 6.632 0.880
Ba 2.211 1.913 6.160
Ba 2.211 2.508 2.640
Ba 2.508 6.632 4.400
Ba 6.334 2.211 4.400
Ba 6.632 6.334 2.640
Ba 6.632 6.929 6.160
Ba 6.929 2.211 0.880
Mn 0.000 0.000 3.520
Mn 0.000 4.421 5.280
Mn 4.421 0.000 1.760
Mn 4.421 4.421 0.000
Pd 0.000 0.000 0.000
Pd 0.000 4.421 1.760
Pd 4.421 0.000 5.280
Pd 4.421 4.421 3.520